Mn3AlV2: optimized geometry, PBE.

Computed properties:
* energy relative to the lowest polymorph listed for this composition: 0.008 eV per atom
* DOS at the Fermi energy: 4.89 states/eV per cell
* V: 12.21 A^3/atom
* SG: P4/mmm (123)
* total DFT energy (no corrections): -8.522 eV per atom
* total magnetization: 1.80 μB per cell

a = 2.9088 Å, b = 2.9088 Å, c = 8.6571 Å
α = 90.00°, β = 90.00°, γ = 90.00°
Atoms (fractional coordinates):
V: 0.5000 0.5000 0.8301
V: 0.5000 0.5000 0.1699
Al: 0.5000 0.5000 0.5000
Mn: 0.0000 0.0000 0.6774
Mn: 0.0000 0.0000 0.3226
Mn: 0.0000 0.0000 0.0000